{"formula": "SrSiMoO6", "functional": "PBE+U", "state": "relaxed", "lattice": [[5.031, 0.000, 0.000], [2.515, 4.357, 0.000], [0.000, 0.000, 5.406]], "species": ["Sr", "Si", "Mo", "O", "O", "O", "O", "O", "O"], "fractional_positions": [[0.000, 0.000, 0.000], [0.333, 0.333, 0.500], [0.667, 0.667, 0.500], [0.020, 0.376, 0.307], [0.376, 0.020, 0.693], [0.604, 0.376, 0.693], [0.020, 0.604, 0.693], [0.376, 0.604, 0.307], [0.604, 0.020, 0.307]], "e_tot_ev_per_cell": -64.74, "spacegroup": "P312, No. 149", "vol_a3_per_atom": 13.17}